[1]
AcSbAu2 after structural relaxation, computed with PBE.

Results
Calculated volume = 26.284 A^3/atom
Formation energy (no corrections) = -494 meV/atom
Total moment = 0.00 μB/f.u.
ΔE to the lowest computed polymorph = 0.2056 eV per atom
N(E_F) = 1.85 states/eV per cell
SG = P4/mmm
ρ = 11730 kg/m³

abc: 3.9528 3.9528 6.7289
angles: 90.00 90.00 90.00
Positions (direct):
Ac  0.0000  0.0000  0.0000
Sb  0.0000  0.0000  0.5000
Au  0.5000  0.5000  0.2697
Au  0.5000  0.5000  0.7303



[2]
AcSbAu4 after structural relaxation, computed with PBE.

Results
Calculated volume = 25.065 A^3/atom
Formation energy (no corrections) = -416 meV/atom
Total moment = 0.00 μB/f.u.
ΔE to the lowest computed polymorph = 0.0529 eV per atom
N(E_F) = 7.09 states/eV per cell
SG = Pbam
ρ = 12550 kg/m³

abc: 7.8781 18.3489 4.1615
angles: 90.00 90.00 90.00
Positions (direct):
Ac  0.2028  0.1705  0.0000
Ac  0.2972  0.6705  0.0000
Ac  0.7028  0.3295  0.0000
Ac  0.7972  0.8295  0.0000
Sb  0.2268  0.4115  0.0000
Sb  0.2732  0.9115  0.0000
Sb  0.7268  0.0885  0.0000
Sb  0.7732  0.5885  0.0000
Au  0.0048  0.9269  0.5000
Au  0.0292  0.3435  0.5000
Au  0.1348  0.7874  0.5000
Au  0.1661  0.5272  0.5000
Au  0.3339  0.0272  0.5000
Au  0.3652  0.2874  0.5000
Au  0.4708  0.8435  0.5000
Au  0.4952  0.4269  0.5000
Au  0.5048  0.5731  0.5000
Au  0.5292  0.1565  0.5000
Au  0.6348  0.7126  0.5000
Au  0.6661  0.9728  0.5000
Au  0.8339  0.4728  0.5000
Au  0.8652  0.2126  0.5000
Au  0.9708  0.6565  0.5000
Au  0.9952  0.0731  0.5000



[3]
Ac2SbAu after structural relaxation, computed with PBE.

Results
Calculated volume = 36.439 A^3/atom
Formation energy (no corrections) = -901 meV/atom
Total moment = 0.00 μB/f.u.
ΔE to the lowest computed polymorph = 0.0275 eV per atom
N(E_F) = 3.85 states/eV per cell
SG = R-3m
ρ = 8803 kg/m³

abc: 8.3390 8.3390 8.3390
angles: 32.13 32.13 32.13
Positions (direct):
Ac  0.2463  0.2463  0.2463
Ac  0.7537  0.7537  0.7537
Sb  0.0000  0.0000  0.0000
Au  0.5000  0.5000  0.5000



[4]
AcSb4Au12 after structural relaxation, computed with PBE.

Results
Calculated volume = 24.875 A^3/atom
Formation energy (no corrections) = -10 meV/atom
Total moment = 0.00 μB/f.u.
N(E_F) = 5.92 states/eV per cell
SG = Im-3
ρ = 12085 kg/m³

abc: 8.1898 8.1898 8.1898
angles: 109.47 109.47 109.47
Positions (direct):
Ac  0.0000  0.0000  0.0000
Sb  0.0000  0.0000  0.5000
Sb  0.0000  0.5000  0.0000
Sb  0.5000  0.0000  0.0000
Sb  0.5000  0.5000  0.5000
Au  0.1463  0.3505  0.4968
Au  0.1463  0.6495  0.7957
Au  0.2043  0.8537  0.3505
Au  0.3505  0.2043  0.8537
Au  0.3505  0.4968  0.1463
Au  0.4968  0.1463  0.3505
Au  0.5032  0.8537  0.6495
Au  0.6495  0.5032  0.8537
Au  0.6495  0.7957  0.1463
Au  0.7957  0.1463  0.6495
Au  0.8537  0.3505  0.2043
Au  0.8537  0.6495  0.5032



[5]
Ac2Sb3Au9 after structural relaxation, computed with PBE.

Results
Calculated volume = 22.961 A^3/atom
Formation energy (no corrections) = -427 meV/atom
Total moment = 0.00 μB/f.u.
N(E_F) = 9.19 states/eV per cell
SG = Cmcm
ρ = 13389 kg/m³

abc: 8.7100 8.7100 9.7076
angles: 90.00 90.00 60.81
Positions (direct):
Ac  0.0045  0.6853  0.7500
Ac  0.3147  0.9955  0.7500
Ac  0.6853  0.0045  0.2500
Ac  0.9955  0.3147  0.2500
Sb  0.0000  0.0000  0.0000
Sb  0.0000  0.0000  0.5000
Sb  0.3086  0.3086  0.0000
Sb  0.3086  0.3086  0.5000
Sb  0.6914  0.6914  0.0000
Sb  0.6914  0.6914  0.5000
Au  0.0177  0.6508  0.1011
Au  0.0177  0.6508  0.3989
Au  0.1842  0.8158  0.2500
Au  0.3298  0.6702  0.5503
Au  0.3298  0.6702  0.9497
Au  0.3492  0.9823  0.1011
Au  0.3492  0.9823  0.3989
Au  0.3864  0.4209  0.2500
Au  0.4209  0.3864  0.7500
Au  0.5791  0.6136  0.2500
Au  0.6136  0.5791  0.7500
Au  0.6508  0.0177  0.6011
Au  0.6508  0.0177  0.8989
Au  0.6702  0.3298  0.0503
Au  0.6702  0.3298  0.4497
Au  0.8158  0.1842  0.7500
Au  0.9823  0.3492  0.6011
Au  0.9823  0.3492  0.8989



[6]
Ac2SbAu6 after structural relaxation, computed with PBE.

Results
Calculated volume = 24.262 A^3/atom
Formation energy (no corrections) = -634 meV/atom
Total moment = 0.00 μB/f.u.
N(E_F) = 5.15 states/eV per cell
SG = P-3m1
ρ = 13365 kg/m³

abc: 6.5394 6.5394 5.8959
angles: 90.00 90.00 120.00
Positions (direct):
Ac  0.3333  0.6667  0.1740
Ac  0.6667  0.3333  0.8260
Sb  0.0000  0.0000  0.0000
Au  0.1859  0.3719  0.6700
Au  0.1859  0.8141  0.6700
Au  0.3719  0.1859  0.3300
Au  0.6281  0.8141  0.6700
Au  0.8141  0.1859  0.3300
Au  0.8141  0.6281  0.3300



Question: Among the records above, which one has the highest ρ?
Answer: Ac2Sb3Au9



Question: Which of these has the lowest calculated volume?
Answer: Ac2Sb3Au9